1.
Below is a relaxed structure of LiFeSi, with properties calculated at the PBE level.

Output
M_tot (μB per formula unit): 0.249
Calculated total energy (eV per cell): -65.45
Formation energy from raw total energies (eV per formula unit): -0.56
D(E_F) (states/eV/cell): 7.60

Unit cell a=4.653 b=4.015 c=8.135 alpha=90.00 beta=119.74 gamma=90.00
Site moments in Bohr magnetons follow the coordinates.
Sites, in units of the cell vectors:
Si (0.762, 0.500, 0.180)  -0.01
Si (0.762, 0.000, 0.680)  -0.01
Si (0.238, 0.000, 0.320)  -0.01
Si (0.238, 0.500, 0.820)  -0.01
Fe (0.246, 0.000, 0.659)  0.29
Fe (0.754, 0.500, 0.841)  0.29
Fe (0.246, 0.500, 0.159)  0.29
Fe (0.754, 0.000, 0.341)  0.29
Li (0.256, 0.000, 0.000)  -0.01
Li (0.256, 0.500, 0.500)  -0.01
Li (0.744, 0.000, 0.000)  -0.01
Li (0.744, 0.500, 0.500)  -0.01



2.
Below is a relaxed structure of LiFeSi, with properties calculated at the PBE level.

Output
M_tot (μB per formula unit): 1.621
Calculated total energy (eV per cell): -16.13
Formation energy from raw total energies (eV per formula unit): -0.33
D(E_F) (states/eV/cell): 1.56

Unit cell a=4.360 b=4.360 c=4.360 alpha=145.79 beta=131.46 gamma=60.72
Site moments in Bohr magnetons follow the coordinates.
Sites, in units of the cell vectors:
Fe (0.007, 0.007, 0.000)  1.66
Si (0.661, 0.661, 0.000)  -0.03
Li (0.332, 0.332, 0.000)  0.00



Question: The lowest calculated total energy belongs to which entry?
Answer: number 1